Al2ZnIn2: optimized geometry, PBE.

Output
ΔH_f (0 K) in meV per atom: 150.2
Raw total energy in eV/atom: -2.70

Cell lengths 6.7711, 6.7711, 4.7283 Å; angles 90.00, 90.00, 90.00 degrees
Fractional positions:
Al  0.1394  0.3606  0.0000
Al  0.3606  0.8606  0.0000
Al  0.6394  0.1394  0.0000
Al  0.8606  0.6394  0.0000
Zn  0.0000  0.0000  0.0000
Zn  0.5000  0.5000  0.0000
In  0.1740  0.6740  0.5000
In  0.3260  0.1740  0.5000
In  0.6740  0.8260  0.5000
In  0.8260  0.3260  0.5000

***

AlZnIn: optimized geometry, PBE.

Output
ΔH_f (0 K) in meV per atom: 114.2
Raw total energy in eV/atom: -2.47

Cell lengths 4.4818, 4.4818, 7.6593 Å; angles 95.96, 95.96, 57.47 degrees
Fractional positions:
Al  0.2335  0.2335  0.3720
Al  0.7665  0.7665  0.6280
Zn  0.4462  0.4462  0.6727
Zn  0.5538  0.5538  0.3273
In  0.1349  0.1349  0.8690
In  0.8651  0.8651  0.1310